[1]
# V2NiBr

A geometry-optimized V2NiBr structure (PBE, the Alexandria database).

Results
total magnetization = 1.70 μB per formula unit
formation energy from raw total energies = 755.1 meV per atom
Fermi-level density of states = 9.17 states/eV/cell

a = 6.733 Å, b = 6.733 Å, c = 6.733 Å
α = 132.96°, β = 132.96°, γ = 68.71°
Fractional coordinates of all 8 atoms:
V: 0.076 0.625 0.951
V: 0.375 0.326 0.451
V: 0.674 0.125 0.049
V: 0.875 0.924 0.549
Ni: 0.000 0.000 0.000
Ni: 0.750 0.250 0.500
Br: 0.250 0.750 0.500
Br: 0.500 0.500 0.000



[2]
# Y4Zn2Pd

A geometry-optimized Y4Zn2Pd structure (PBE, the Alexandria database).

Results
ΔH_f (0 K) = -0.37 eV/atom
total magnetization = 0.00 μB per formula unit
Fermi-level density of states = 5.51 states/eV/cell

a = 6.111 Å, b = 6.111 Å, c = 6.111 Å
α = 109.36°, β = 109.36°, γ = 109.69°
Fractional coordinates of all 7 atoms:
Y: 0.000 0.000 0.500
Y: 0.000 0.500 0.000
Y: 0.500 0.000 0.000
Y: 0.500 0.500 0.500
Zn: 0.000 0.500 0.500
Zn: 0.500 0.000 0.500
Pd: 0.000 0.000 0.000